1.
A relaxed structure of CuTePb2F. Source: Alexandria via LeMat-Bulk, functional PBE.

Lattice parameters (Å, degrees): 6.1861 6.1861 4.6541 90.00 90.00 90.00
Closest atoms and distances in Å follow each position.
Space group P4/mmm (No. 123)
Inequivalent atoms, fractional coordinates:
Cu (0.0000, 0.0000, 0.0000) [1 per cell]  2 Te 2.33
Te (0.0000, 0.0000, 0.5000) [1 per cell]  2 Cu 2.33
Pb (0.0000, 0.5000, 0.5000) [2 per cell]  2 Te 3.09
F (0.5000, 0.5000, 0.0000) [1 per cell]  8 Pb 3.87

Output
The calculation puts the total energy at -15.91 eV for the cell shown. The calculated volume comes out at 35.6 Å³/atom. The calculation puts the spin magnetization at 0.0 μB per cell.

2.
A relaxed structure of La2NbSn. Source: Alexandria via LeMat-Bulk, functional PBE.

Lattice parameters (Å, degrees): 8.5746 8.5746 6.1691 90.00 90.00 90.00
Closest atoms and distances in Å follow each position.
Space group I-42d (No. 122)
Inequivalent atoms, fractional coordinates:
La (0.2114, 0.2500, 0.1250) [8 per cell]  2 Nb 2.91, 2 La 3.15
Nb (0.0000, 0.0000, 0.0000) [4 per cell]  4 La 2.91, 2 Sn 3.08
Sn (0.0000, 0.0000, 0.5000) [4 per cell]  2 Nb 3.08, 4 La 3.36

Output
The formation energy is 263.2 meV per atom. The calculation puts the total energy at -91.50 eV for the cell shown. The calculated volume comes out at 28.3 Å³/atom. The calculation puts the spin magnetization at 4.0 μB per cell.

3.
A relaxed structure of Si2IrAu. Source: Alexandria via LeMat-Bulk, functional PBE.

Lattice parameters (Å, degrees): 2.9549 2.9549 7.0161 90.00 90.00 90.00
Closest atoms and distances in Å follow each position.
Space group P4/mmm (No. 123)
Inequivalent atoms, fractional coordinates:
Si (0.0000, 0.0000, 0.2237) [2 per cell]  4 Ir 2.61, 4 Au 2.85
Ir (0.5000, 0.5000, 0.0000) [1 per cell]  8 Si 2.61
Au (0.5000, 0.5000, 0.5000) [1 per cell]  8 Si 2.85, 4 Au 2.95

Output
The calculation puts the total energy at -22.69 eV for the cell shown. The calculated volume comes out at 15.3 Å³/atom. The calculation puts the spin magnetization at 0.0 μB per cell. The calculation puts the energy above the most stable polymorph in this dataset at 284.8 meV/atom.

4.
A relaxed structure of ZnNi6Sb. Source: Alexandria via LeMat-Bulk, functional PBE.

Lattice parameters (Å, degrees): 5.1984 5.1984 4.1695 90.00 90.00 120.00
Closest atoms and distances in Å follow each position.
Space group P-6m2 (No. 187)
Inequivalent atoms, fractional coordinates:
Zn (0.0000, 0.0000, 0.0000) [1 per cell]  12 Ni 2.58-2.60
Ni (0.3359, 0.1680, 0.5000) [3 per cell]  8 Ni 2.55-2.62, 2 Zn 2.58, 2 Sb 2.60
Ni (0.5073, 0.0146, 0.0000) [3 per cell]  8 Ni 2.49-2.71, 2 Zn 2.60, 2 Sb 2.61
Sb (0.3333, 0.6667, 0.5000) [1 per cell]  12 Ni 2.60-2.61

Output
The calculation puts the total energy at -41.22 eV for the cell shown. The calculated volume comes out at 12.2 Å³/atom. The calculation puts the spin magnetization at 0.0 μB per cell. The calculation puts the energy above the most stable polymorph in this dataset at 0.0 meV/atom.

5.
A relaxed structure of Tb2MgCu3Ni12. Source: Alexandria via LeMat-Bulk, functional PBE.

Lattice parameters (Å, degrees): 8.3449 8.3449 12.0949 90.00 90.00 120.00
Closest atoms and distances in Å follow each position.
Space group R-3m (No. 166, hexagonal axes)
Inequivalent atoms, fractional coordinates:
Tb (0.0000, 0.0000, 0.2106) [6 per cell]  9 Ni 2.66-2.82, 3 Cu 2.83
Mg (0.0000, 0.0000, 0.5000) [3 per cell]  6 Ni 2.40
Cu (0.0000, 0.5000, 0.0000) [9 per cell]  6 Ni 2.47-2.65
Ni (0.0077, 0.5039, 0.2044) [18 per cell]  5 Ni 2.32-2.52, 1 Mg 2.40, 1 Cu 2.47
Ni (0.0348, 0.5174, 0.6057) [18 per cell]  3 Ni 2.32-2.47

Output
The formation energy is 3.2 meV per atom. The calculation puts the total energy at -277.38 eV for the cell shown. The calculated volume comes out at 13.5 Å³/atom. The calculation puts the spin magnetization at 0.0 μB per cell.

6.
A relaxed structure of Cr3Os. Source: Alexandria via LeMat-Bulk, functional PBE.

Lattice parameters (Å, degrees): 3.7038 3.7038 7.3148 90.00 90.00 90.00
Closest atoms and distances in Å follow each position.
Space group I4/mmm (No. 139)
Inequivalent atoms, fractional coordinates:
Cr (0.0000, 0.0000, 0.0000) [2 per cell]  8 Cr 2.60, 4 Os 2.62
Cr (0.0000, 0.5000, 0.2500) [4 per cell]  8 Cr 2.60-2.62, 4 Os 2.60
Os (0.0000, 0.0000, 0.5000) [2 per cell]  12 Cr 2.60-2.62

Output
The formation energy is 193.5 meV per atom. The calculation puts the total energy at -78.65 eV for the cell shown. The calculated volume comes out at 12.5 Å³/atom. The calculation puts the spin magnetization at 0.0 μB per cell.

7.
A relaxed structure of BaMg2CdBi. Source: Alexandria via LeMat-Bulk, functional PBE.

Lattice parameters (Å, degrees): 5.3070 5.3070 6.1725 90.00 90.00 90.00
Closest atoms and distances in Å follow each position.
Space group P4/mmm (No. 123)
Inequivalent atoms, fractional coordinates:
Ba (0.0000, 0.0000, 0.0000) [1 per cell]  4 Bi 3.75, 8 Mg 4.07
Mg (0.0000, 0.5000, 0.5000) [2 per cell]  2 Cd 2.65
Cd (0.5000, 0.5000, 0.5000) [1 per cell]  4 Mg 2.65
Bi (0.5000, 0.5000, 0.0000) [1 per cell]  2 Cd 3.09

Output
The formation energy is -79.9 meV per atom. The calculation puts the total energy at -10.31 eV for the cell shown. The calculated volume comes out at 34.8 Å³/atom. The calculation puts the spin magnetization at 0.0 μB per cell.

8.
A relaxed structure of NaInCu4. Source: Alexandria via LeMat-Bulk, functional PBE.

Lattice parameters (Å, degrees): 7.1820 7.1820 7.1820 90.00 90.00 90.00
Closest atoms and distances in Å follow each position.
Space group F-43m (No. 216)
Inequivalent atoms, fractional coordinates:
Na (0.0000, 0.0000, 0.0000) [4 per cell]  12 Cu 2.98, 4 In 3.11
In (0.2500, 0.2500, 0.2500) [4 per cell]  12 Cu 2.98, 4 Na 3.11
Cu (0.1251, 0.1251, 0.6251) [16 per cell]  6 Cu 2.54

Output
The formation energy is 36.8 meV per atom. The calculation puts the total energy at -80.89 eV for the cell shown. The calculated volume comes out at 15.4 Å³/atom. The calculation puts the spin magnetization at 0.0 μB per cell.